A relaxed La12PmDy7 crystal, computed with PBE.

Results
The density of states at the Fermi level is 1.70 states/eV per atom. Its space group is R-3m. The calculation puts the distance to the lowest polymorph of the same formula at 0.0 meV per atom. As for the calculated volume: 700 Å³ per cell. As for the spin magnetization: 0.00 Bohr magnetons per cell.

a = 9.004 Å, b = 9.004 Å, c = 9.004 Å
α = 99.02°, β = 99.02°, γ = 99.02°
Element x y z (fractional)
La: 0.000 0.260 0.740
La: 0.000 0.740 0.260
La: 0.145 0.145 0.412
La: 0.145 0.412 0.145
La: 0.260 0.000 0.740
La: 0.260 0.740 0.000
La: 0.412 0.145 0.145
La: 0.588 0.855 0.855
La: 0.740 0.000 0.260
La: 0.740 0.260 0.000
La: 0.855 0.588 0.855
La: 0.855 0.855 0.588
Pm: 0.500 0.500 0.500
Dy: 0.000 0.000 0.000
Dy: 0.164 0.594 0.594
Dy: 0.406 0.406 0.836
Dy: 0.406 0.836 0.406
Dy: 0.594 0.164 0.594
Dy: 0.594 0.594 0.164
Dy: 0.836 0.406 0.406